# 1
{"formula": "HfSiB2Sb", "functional": "meta-GGA SCAN", "state": "single point on PBEsol structure", "spacegroup": "P4/mmm (123)", "crystal_system": "tetragonal", "raw_formation_energy_ev_per_atom": 1.557, "cell": [[-3.978, 1.371, -1.347], [1.198, -0.654, -4.202], [-1.843, -5.087, 0.267]], "species": ["B", "B", "Hf", "Si", "Sb"], "fractional_positions": [[0.500, 0.000, 0.000], [0.000, 0.500, 0.000], [0.000, 0.000, 0.000], [0.500, 0.500, 0.500], [0.000, 0.000, 0.500]]}

---

# 2
{"formula": "Hf2ScSnB", "functional": "meta-GGA SCAN", "state": "single point on PBEsol structure", "spacegroup": "P4/mmm (123)", "crystal_system": "tetragonal", "e_form_ev_per_atom": 1.38, "cell": [[4.345, 0.000, 0.000], [0.000, 4.932, 0.000], [0.000, 0.000, 4.932]], "species": ["Sc", "B", "Sn", "Hf", "Hf"], "fractional_positions": [[0.000, 0.000, 0.000], [0.500, 0.000, 0.000], [0.500, 0.500, 0.500], [0.000, 0.500, 0.000], [0.000, 0.000, 0.500]]}

---

# 3
{"formula": "HfBSe3", "functional": "meta-GGA SCAN", "state": "single point on PBEsol structure", "spacegroup": "Pm-3m (221)", "crystal_system": "cubic", "raw_formation_energy_ev_per_atom": 0.303, "cell": [[-3.135, 0.105, 3.099], [-1.209, -4.099, -1.084], [2.855, -1.620, 2.943]], "species": ["Hf", "B", "Se", "Se", "Se"], "fractional_positions": [[0.500, 0.500, 0.500], [0.000, 0.000, 0.000], [0.500, 0.000, 0.000], [0.000, 0.000, 0.500], [0.000, 0.500, 0.000]]}

---

# 4
{"formula": "HfZr2SiB", "functional": "meta-GGA SCAN", "state": "single point on PBEsol structure", "spacegroup": "P4/mmm (123)", "crystal_system": "tetragonal", "raw_formation_energy_ev_per_atom": -0.105, "cell": [[3.903, 0.000, 0.000], [0.000, 4.676, 0.000], [0.000, 0.000, 4.676]], "species": ["Hf", "B", "Si", "Zr", "Zr"], "fractional_positions": [[0.500, 0.500, 0.500], [0.000, 0.000, 0.000], [0.500, 0.000, 0.000], [0.000, 0.500, 0.000], [0.000, 0.000, 0.500]]}

---

# 5
{"formula": "HfSnB3", "functional": "meta-GGA SCAN", "state": "single point on PBEsol structure", "spacegroup": "Pm-3m (221)", "crystal_system": "cubic", "e_form_ev_per_atom": 1.59, "cell": [[-4.396, 0.299, -0.500], [0.375, -1.459, -4.171], [-0.446, -4.177, 1.421]], "species": ["Sn", "B", "B", "B", "Hf"], "fractional_positions": [[0.500, 0.500, 0.500], [0.500, 0.000, 0.000], [0.000, 0.000, 0.500], [0.000, 0.500, 0.000], [0.000, 0.000, 0.000]]}

---

# 6
{"formula": "HfTcB3", "functional": "meta-GGA SCAN", "state": "single point on PBEsol structure", "spacegroup": "Pm-3m (221)", "crystal_system": "cubic", "e_form_ev_per_atom": 0.52, "cell": [[-1.060, -0.774, 3.726], [0.387, -3.870, -0.693], [3.786, 0.179, 1.114]], "species": ["B", "B", "B", "Hf", "Tc"], "fractional_positions": [[0.500, 0.000, 0.000], [0.000, 0.000, 0.500], [0.000, 0.500, 0.000], [0.500, 0.500, 0.500], [0.000, 0.000, 0.000]]}

---

| no. | mass density (g cm⁻³) | DFT total energy (eV/atom) |
| --- | --- | --- |
| 1 | 5.50 | -23.405 |
| 2 | 8.35 | -35.202 |
| 3 | 8.26 | -25.764 |
| 4 | 7.78 | -28.409 |
| 5 | 6.28 | -22.590 |
| 6 | 8.32 | -23.485 |